(1)
{"formula": "Tb2CeNd3P6", "functional": "PBE-GGA", "state": "relaxed", "lattice": [[3.552, -6.152, 0.000], [3.552, 6.152, 0.000], [-2.368, 0.000, 6.710]], "species": ["Tb", "Tb", "Ce", "Nd", "Nd", "Nd", "P", "P", "P", "P", "P", "P"], "frac_coords": [[0.167, 0.833, 0.000], [0.833, 0.167, 0.000], [0.500, 0.500, 0.000], [0.000, 0.000, 0.500], [0.333, 0.667, 0.500], [0.667, 0.333, 0.500], [0.088, 0.420, 0.759], [0.248, 0.248, 0.240], [0.420, 0.088, 0.759], [0.580, 0.912, 0.241], [0.752, 0.752, 0.760], [0.912, 0.580, 0.241]], "sg": "C2/m, No. 12", "dft_energy_ev_per_atom": -6.73}

---

(2)
{"formula": "CeNdTeP", "functional": "PBE-GGA", "state": "relaxed", "lattice": [[2.098, 1.211, 7.474], [-2.098, 1.211, 7.474], [0.000, -2.422, 7.474]], "species": ["Ce", "Nd", "Te", "P"], "frac_coords": [[0.000, 0.000, 0.000], [0.193, 0.193, 0.193], [0.428, 0.428, 0.428], [0.599, 0.599, 0.599]], "sg": "R3m, No. 160", "dft_energy_ev_per_atom": -6.29, "formation_energy_uncorrected_ev_per_atom": -1.48}

---

(3)
{"formula": "CeNdTh2P4", "functional": "PBE-GGA", "state": "relaxed", "lattice": [[7.161, 0.000, 0.000], [0.000, 4.140, 0.000], [-2.394, 0.000, 6.762]], "species": ["Ce", "Nd", "Th", "Th", "P", "P", "P", "P"], "frac_coords": [[0.000, 0.000, 0.000], [0.000, 0.500, 0.500], [0.500, 0.000, 0.500], [0.500, 0.500, 0.000], [0.250, 0.500, 0.247], [0.252, 0.000, 0.754], [0.748, 0.000, 0.246], [0.750, 0.500, 0.753]], "sg": "P2/m, No. 10", "dft_energy_ev_per_atom": -7.45}

---

(4)
{"formula": "Ce2NdTh3P6", "functional": "PBE-GGA", "state": "relaxed", "lattice": [[3.580, -6.201, 0.000], [3.580, 6.201, 0.000], [-2.386, 0.000, 6.739]], "species": ["Ce", "Ce", "Nd", "Th", "Th", "Th", "P", "P", "P", "P", "P", "P"], "frac_coords": [[0.167, 0.833, 0.000], [0.833, 0.167, 0.000], [0.500, 0.500, 0.000], [0.000, 0.000, 0.500], [0.334, 0.666, 0.500], [0.666, 0.334, 0.500], [0.080, 0.417, 0.751], [0.246, 0.246, 0.249], [0.417, 0.080, 0.751], [0.583, 0.920, 0.249], [0.754, 0.754, 0.751], [0.920, 0.583, 0.249]], "sg": "C2/m, No. 12", "dft_energy_ev_per_atom": -7.49}

---

We obtain V values of 293, 114, 200, 299 Å³/f.u. for the records listed above, in that order.
We obtain density of states at the Fermi level values of 0.40, 1.74, 0.92, 1.02 states/eV/atom for the records listed above, in that order.
We obtain mass density values of 6095, 6455, 7225, 7250 kg/m3 for the records listed above, in that order.